Compound: CsCdOs2
Source: Alexandria via LeMat-Bulk
Functional: PBE
Structure: optimized geometry

Cell lengths 10.612, 10.612, 10.612 Å; angles 155.01, 155.01, 35.63 degrees
Element x y z (fractional)
Cs (0.000, 0.000, 0.000)
Cs (0.750, 0.250, 0.500)
Cd (0.250, 0.750, 0.500)
Cd (0.500, 0.500, 0.000)
Os (0.274, 0.625, 0.149)
Os (0.375, 0.524, 0.649)
Os (0.476, 0.125, 0.851)
Os (0.875, 0.726, 0.351)

Output
**Space-group type**: No. 122
**ρ**: 9.76 Mg/m³
**N(E_F)**: 7.3 states/eV per cell
**Calculated total energy**: -4.585 eV/atom

Compound: Cs3CdOs
Source: Alexandria via LeMat-Bulk
Functional: PBE
Structure: optimized geometry

Cell lengths 6.255, 6.255, 6.255 Å; angles 90.00, 90.00, 90.00 degrees
Element x y z (fractional)
Cs (0.000, 0.000, 0.500)
Cs (0.000, 0.500, 0.000)
Cs (0.500, 0.000, 0.000)
Cd (0.500, 0.500, 0.500)
Os (0.000, 0.000, 0.000)

Output
**Space-group type**: No. 221
**ρ**: 4.76 Mg/m³
**N(E_F)**: 5.8 states/eV per cell
**Calculated total energy**: -1.858 eV/atom

Compound: CsSc2CdOs
Source: Alexandria via LeMat-Bulk
Functional: PBE
Structure: optimized geometry

Cell lengths 5.116, 5.116, 5.669 Å; angles 90.00, 90.00, 90.00 degrees
Element x y z (fractional)
Cs (0.000, 0.000, 0.000)
Sc (0.000, 0.500, 0.500)
Sc (0.500, 0.000, 0.500)
Cd (0.500, 0.500, 0.000)
Os (0.500, 0.500, 0.500)

Output
**Space-group type**: No. 123
**ρ**: 5.88 Mg/m³
**N(E_F)**: 2.3 states/eV per cell
**Calculated total energy**: -4.921 eV/atom

Compound: CsCdP
Source: Alexandria via LeMat-Bulk
Functional: PBE
Structure: optimized geometry

Cell lengths 6.802, 6.802, 5.775 Å; angles 108.07, 108.07, 56.23 degrees
Element x y z (fractional)
Cs (0.194, 0.194, 0.152)
Cs (0.806, 0.806, 0.848)
Cd (0.220, 0.780, 0.500)
Cd (0.780, 0.220, 0.500)
P (0.458, 0.458, 0.796)
P (0.542, 0.542, 0.204)

Output
**Space-group type**: No. 12
**ρ**: 4.41 Mg/m³
**N(E_F)**: 0.5 states/eV per cell
**Calculated total energy**: -2.628 eV/atom

Compound: Cs2CdP2
Source: Alexandria via LeMat-Bulk
Functional: PBE
Structure: optimized geometry

Cell lengths 9.315, 9.315, 4.613 Å; angles 90.00, 90.00, 90.00 degrees
Element x y z (fractional)
Cs (0.205, 0.295, 0.000)
Cs (0.295, 0.795, 0.000)
Cs (0.705, 0.205, 0.000)
Cs (0.795, 0.705, 0.000)
Cd (0.000, 0.000, 0.500)
Cd (0.500, 0.500, 0.500)
P (0.077, 0.577, 0.500)
P (0.423, 0.077, 0.500)
P (0.577, 0.923, 0.500)
P (0.923, 0.423, 0.500)

Output
**Space-group type**: No. 127
**ρ**: 3.65 Mg/m³
**N(E_F)**: 11.4 states/eV per cell
**Calculated total energy**: -2.818 eV/atom

Compound: CsCd4P3
Source: Alexandria via LeMat-Bulk
Functional: PBE
Structure: optimized geometry

Cell lengths 12.928, 12.928, 12.928 Å; angles 19.69, 19.69, 19.69 degrees
Element x y z (fractional)
Cs (0.000, 0.000, 0.000)
Cd (0.196, 0.196, 0.196)
Cd (0.415, 0.415, 0.415)
Cd (0.585, 0.585, 0.585)
Cd (0.804, 0.804, 0.804)
P (0.265, 0.265, 0.265)
P (0.500, 0.500, 0.500)
P (0.735, 0.735, 0.735)

Output
**Space-group type**: No. 166
**ρ**: 5.23 Mg/m³
**N(E_F)**: 0.6 states/eV per cell
**Calculated total energy**: -2.777 eV/atom

Compound: CsCdP
Source: Alexandria via LeMat-Bulk
Functional: PBE
Structure: optimized geometry

Cell lengths 8.516, 4.499, 11.244 Å; angles 90.00, 90.00, 90.00 degrees
Element x y z (fractional)
Cs (0.011, 0.250, 0.180)
Cs (0.489, 0.750, 0.680)
Cs (0.511, 0.250, 0.320)
Cs (0.989, 0.750, 0.820)
Cd (0.115, 0.250, 0.516)
Cd (0.385, 0.750, 0.016)
Cd (0.615, 0.250, 0.984)
Cd (0.885, 0.750, 0.484)
P (0.200, 0.750, 0.424)
P (0.300, 0.250, 0.924)
P (0.700, 0.750, 0.076)
P (0.800, 0.250, 0.576)

Output
**Space-group type**: No. 62
**ρ**: 4.26 Mg/m³
**N(E_F)**: 0.0 states/eV per cell
**Calculated total energy**: -2.669 eV/atom

Compound: Cs3Cd2P2
Source: Alexandria via LeMat-Bulk
Functional: PBE
Structure: optimized geometry

Cell lengths 7.231, 9.656, 14.574 Å; angles 90.00, 90.00, 90.00 degrees
Element x y z (fractional)
Cs (0.104, 0.152, 0.115)
Cs (0.104, 0.152, 0.385)
Cs (0.104, 0.348, 0.615)
Cs (0.104, 0.348, 0.885)
Cs (0.322, 0.698, 0.750)
Cs (0.322, 0.802, 0.250)
Cs (0.678, 0.198, 0.750)
Cs (0.678, 0.302, 0.250)
Cs (0.896, 0.652, 0.115)
Cs (0.896, 0.652, 0.385)
Cs (0.896, 0.848, 0.615)
Cs (0.896, 0.848, 0.885)
Cd (0.383, 0.008, 0.586)
Cd (0.383, 0.008, 0.914)
Cd (0.383, 0.492, 0.086)
Cd (0.383, 0.492, 0.414)
Cd (0.617, 0.508, 0.586)
Cd (0.617, 0.508, 0.914)
Cd (0.617, 0.992, 0.086)
Cd (0.617, 0.992, 0.414)
P (0.225, 0.050, 0.750)
P (0.225, 0.450, 0.250)
P (0.425, 0.750, 0.000)
P (0.425, 0.750, 0.500)
P (0.575, 0.250, 0.000)
P (0.575, 0.250, 0.500)
P (0.775, 0.550, 0.750)
P (0.775, 0.950, 0.250)

Output
**Space-group type**: No. 57
**ρ**: 4.47 Mg/m³
**N(E_F)**: 5.1 states/eV per cell
**Calculated total energy**: -2.327 eV/atom